(1)
## LiLaY (GGA-PBEsol)

Data for crystalline LiLaY at its relaxed geometry.

```
data_LiLaY
_symmetry_space_group_name_H-M 'P 1'
_symmetry_Int_Tables_number 1
_cell_length_a 6.673
_cell_length_b 6.673
_cell_length_c 6.673
_cell_angle_alpha 147.67
_cell_angle_beta 147.67
_cell_angle_gamma 46.37
loop_
_symmetry_equiv_pos_as_xyz
'x,y,z'
loop_
_atom_site_label
_atom_site_type_symbol
_atom_site_fract_x
_atom_site_fract_y
_atom_site_fract_z
Li1 Li 0.000 0.000 0.000
La1 La 0.339 0.339 0.000
Y1 Y 0.646 0.646 0.000
```

- formation enthalpy at 0 K (eV per formula unit) = 0.28
- ΔE to the lowest computed polymorph (eV/atom) = 0.000
- volume (Å³/cell) = 85
- mass density (g cm⁻³) = 4.60
- size of the total moment (μB per formula unit) = 0.00

(2)
## LiZr2BAu (GGA-PBEsol)

Data for crystalline LiZr2BAu at its relaxed geometry.

```
data_LiZr2BAu
_symmetry_space_group_name_H-M 'P 1'
_symmetry_Int_Tables_number 1
_cell_length_a 4.589
_cell_length_b 4.589
_cell_length_c 4.193
_cell_angle_alpha 90.00
_cell_angle_beta 90.00
_cell_angle_gamma 90.00
loop_
_symmetry_equiv_pos_as_xyz
'x,y,z'
loop_
_atom_site_label
_atom_site_type_symbol
_atom_site_fract_x
_atom_site_fract_y
_atom_site_fract_z
Li1 Li 0.000 0.000 0.000
Zr1 Zr 0.000 0.500 0.500
Zr2 Zr 0.500 0.000 0.500
B1 B 0.500 0.500 0.500
Au1 Au 0.500 0.500 0.000
```

- formation enthalpy at 0 K (eV per formula unit) = -0.48
- ΔE to the lowest computed polymorph (eV/atom) = 0.066
- volume (Å³/cell) = 88
- mass density (g cm⁻³) = 7.47
- size of the total moment (μB per formula unit) = 0.00

(3)
## SiINO2 (GGA-PBEsol)

Data for crystalline SiINO2 at its relaxed geometry.

```
data_SiINO2
_symmetry_space_group_name_H-M 'P 1'
_symmetry_Int_Tables_number 1
_cell_length_a 3.535
_cell_length_b 3.535
_cell_length_c 4.101
_cell_angle_alpha 90.00
_cell_angle_beta 90.00
_cell_angle_gamma 90.00
loop_
_symmetry_equiv_pos_as_xyz
'x,y,z'
loop_
_atom_site_label
_atom_site_type_symbol
_atom_site_fract_x
_atom_site_fract_y
_atom_site_fract_z
Si1 Si 0.000 0.000 0.000
I1 I 0.500 0.500 0.500
N1 N 0.000 0.000 0.500
O1 O 0.000 0.500 0.000
O2 O 0.500 0.000 0.000
```

- final energy (eV per atom) = -5.802
- volume (Å³/cell) = 51
- mass density (g cm⁻³) = 6.51
- size of the total moment (μB per formula unit) = 0.00

(4)
## AlCoHgBr2 (GGA-PBEsol)

Data for crystalline AlCoHgBr2 at its relaxed geometry.

```
data_AlCoHgBr2
_symmetry_space_group_name_H-M 'P 1'
_symmetry_Int_Tables_number 1
_cell_length_a 5.522
_cell_length_b 5.522
_cell_length_c 5.078
_cell_angle_alpha 90.00
_cell_angle_beta 90.00
_cell_angle_gamma 90.00
loop_
_symmetry_equiv_pos_as_xyz
'x,y,z'
loop_
_atom_site_label
_atom_site_type_symbol
_atom_site_fract_x
_atom_site_fract_y
_atom_site_fract_z
Al1 Al 0.000 0.000 0.000
Co1 Co 0.500 0.500 0.000
Hg1 Hg 0.000 0.000 0.500
Br1 Br 0.000 0.500 0.500
Br2 Br 0.500 0.000 0.500
```

- final energy (eV per atom) = -2.193
- volume (Å³/cell) = 155
- mass density (g cm⁻³) = 4.79
- size of the total moment (μB per formula unit) = 3.13

(5)
## CaMn2Ru (GGA-PBEsol)

Data for crystalline CaMn2Ru at its relaxed geometry.

```
data_CaMn2Ru
_symmetry_space_group_name_H-M 'P 1'
_symmetry_Int_Tables_number 1
_cell_length_a 5.499
_cell_length_b 5.499
_cell_length_c 5.499
_cell_angle_alpha 148.47
_cell_angle_beta 128.87
_cell_angle_gamma 61.32
loop_
_symmetry_equiv_pos_as_xyz
'x,y,z'
loop_
_atom_site_label
_atom_site_type_symbol
_atom_site_fract_x
_atom_site_fract_y
_atom_site_fract_z
Ca1 Ca 0.000 0.000 0.000
Mn1 Mn 0.285 0.785 0.500
Mn2 Mn 0.715 0.215 0.500
Ru1 Ru 0.500 0.500 0.000
```

- formation enthalpy at 0 K (eV per formula unit) = 2.59
- ΔE to the lowest computed polymorph (eV/atom) = 0.142
- volume (Å³/cell) = 67
- mass density (g cm⁻³) = 6.21
- size of the total moment (μB per formula unit) = 6.93

(6)
## CaPbI6 (GGA-PBEsol)

Data for crystalline CaPbI6 at its relaxed geometry.

```
data_CaPbI6
_symmetry_space_group_name_H-M 'P 1'
_symmetry_Int_Tables_number 1
_cell_length_a 12.507
_cell_length_b 11.668
_cell_length_c 14.614
_cell_angle_alpha 55.48
_cell_angle_beta 50.23
_cell_angle_gamma 74.29
loop_
_symmetry_equiv_pos_as_xyz
'x,y,z'
loop_
_atom_site_label
_atom_site_type_symbol
_atom_site_fract_x
_atom_site_fract_y
_atom_site_fract_z
Ca1 Ca 0.262 0.738 0.458
Ca2 Ca 0.708 0.792 0.512
Ca3 Ca 0.738 0.262 0.542
Ca4 Ca 0.792 0.708 0.988
Pb1 Pb 0.007 0.660 0.180
Pb2 Pb 0.070 0.097 0.243
Pb3 Pb 0.097 0.070 0.590
Pb4 Pb 0.660 0.007 0.153
I1 I 0.005 0.337 0.687
I2 I 0.060 0.320 0.324
I3 I 0.068 0.380 0.006
I4 I 0.099 0.749 0.723
I5 I 0.244 0.703 0.182
I6 I 0.279 0.563 0.913
I7 I 0.300 0.443 0.507
I8 I 0.320 0.060 0.296
I9 I 0.337 0.005 0.971
I10 I 0.380 0.068 0.547
I11 I 0.443 0.300 0.750
I12 I 0.500 0.743 0.807
I13 I 0.512 0.742 0.470
I14 I 0.527 0.821 0.151
I15 I 0.563 0.279 0.245
I16 I 0.703 0.244 0.870
I17 I 0.742 0.512 0.276
I18 I 0.743 0.500 0.950
I19 I 0.749 0.099 0.429
I20 I 0.780 0.974 0.738
I21 I 0.821 0.527 0.501
I22 I 0.926 0.954 0.190
I23 I 0.954 0.926 0.930
I24 I 0.974 0.780 0.508
```

- final energy (eV per atom) = -2.841
- volume (Å³/cell) = 1336
- mass density (g cm⁻³) = 5.01
- size of the total moment (μB per formula unit) = 0.00

(7)
## Nb3CdSi (GGA-PBEsol)

Data for crystalline Nb3CdSi at its relaxed geometry.

```
data_Nb3CdSi
_symmetry_space_group_name_H-M 'P 1'
_symmetry_Int_Tables_number 1
_cell_length_a 4.888
_cell_length_b 4.888
_cell_length_c 4.888
_cell_angle_alpha 90.00
_cell_angle_beta 90.00
_cell_angle_gamma 90.00
loop_
_symmetry_equiv_pos_as_xyz
'x,y,z'
loop_
_atom_site_label
_atom_site_type_symbol
_atom_site_fract_x
_atom_site_fract_y
_atom_site_fract_z
Nb1 Nb 0.000 0.000 0.500
Nb2 Nb 0.000 0.500 0.000
Nb3 Nb 0.500 0.000 0.000
Cd1 Cd 0.000 0.000 0.000
Si1 Si 0.500 0.500 0.500
```

- final energy (eV per atom) = -5.840
- volume (Å³/cell) = 117
- mass density (g cm⁻³) = 5.96
- size of the total moment (μB per formula unit) = 0.00

(8)
## Ba8LiTa7O24 (GGA-PBEsol)

Data for crystalline Ba8LiTa7O24 at its relaxed geometry.

```
data_Ba8LiTa7O24
_symmetry_space_group_name_H-M 'P 1'
_symmetry_Int_Tables_number 1
_cell_length_a 5.821
_cell_length_b 5.821
_cell_length_c 18.926
_cell_angle_alpha 90.00
_cell_angle_beta 90.00
_cell_angle_gamma 120.00
loop_
_symmetry_equiv_pos_as_xyz
'x,y,z'
loop_
_atom_site_label
_atom_site_type_symbol
_atom_site_fract_x
_atom_site_fract_y
_atom_site_fract_z
Ba1 Ba 0.000 0.000 0.000
Ba2 Ba 0.000 0.000 0.222
Ba3 Ba 0.000 0.000 0.605
Ba4 Ba 0.333 0.667 0.354
Ba5 Ba 0.333 0.667 0.860
Ba6 Ba 0.667 0.333 0.102
Ba7 Ba 0.667 0.333 0.491
Ba8 Ba 0.667 0.333 0.722
Li1 Li 0.333 0.667 0.022
Ta1 Ta 0.000 0.000 0.416
Ta2 Ta 0.000 0.000 0.794
Ta3 Ta 0.333 0.667 0.166
Ta4 Ta 0.333 0.667 0.536
Ta5 Ta 0.333 0.667 0.673
Ta6 Ta 0.667 0.333 0.296
Ta7 Ta 0.667 0.333 0.919
O1 O 0.011 0.506 0.605
O2 O 0.164 0.328 0.730
O3 O 0.164 0.836 0.730
O4 O 0.165 0.330 0.478
O5 O 0.165 0.835 0.478
O6 O 0.174 0.348 0.112
O7 O 0.174 0.826 0.112
O8 O 0.334 0.167 0.850
O9 O 0.336 0.168 0.356
O10 O 0.494 0.506 0.605
O11 O 0.494 0.989 0.605
O12 O 0.501 0.002 0.235
O13 O 0.501 0.499 0.235
O14 O 0.507 0.013 0.973
O15 O 0.507 0.493 0.973
O16 O 0.652 0.826 0.112
O17 O 0.670 0.835 0.478
O18 O 0.672 0.836 0.730
O19 O 0.832 0.168 0.356
O20 O 0.832 0.664 0.356
O21 O 0.833 0.167 0.850
O22 O 0.833 0.666 0.850
O23 O 0.987 0.493 0.973
O24 O 0.998 0.499 0.235
```

- final energy (eV per atom) = -8.760
- volume (Å³/cell) = 555
- mass density (g cm⁻³) = 8.24
- size of the total moment (μB per formula unit) = 0.00

(9)
## CuAsRh2 (GGA-PBEsol)

Data for crystalline CuAsRh2 at its relaxed geometry.

```
data_CuAsRh2
_symmetry_space_group_name_H-M 'P 1'
_symmetry_Int_Tables_number 1
_cell_length_a 7.992
_cell_length_b 7.992
_cell_length_c 7.992
_cell_angle_alpha 20.56
_cell_angle_beta 20.56
_cell_angle_gamma 20.56
loop_
_symmetry_equiv_pos_as_xyz
'x,y,z'
loop_
_atom_site_label
_atom_site_type_symbol
_atom_site_fract_x
_atom_site_fract_y
_atom_site_fract_z
Cu1 Cu 0.000 0.000 0.000
As1 As 0.500 0.500 0.500
Rh1 Rh 0.247 0.247 0.247
Rh2 Rh 0.753 0.753 0.753
```

- formation enthalpy at 0 K (eV per formula unit) = -0.11
- volume (Å³/cell) = 55
- mass density (g cm⁻³) = 10.37
- size of the total moment (μB per formula unit) = 0.00

(10)
## BaFe2Se (GGA-PBEsol)

Data for crystalline BaFe2Se at its relaxed geometry.

```
data_BaFe2Se
_symmetry_space_group_name_H-M 'P 1'
_symmetry_Int_Tables_number 1
_cell_length_a 5.516
_cell_length_b 5.516
_cell_length_c 5.516
_cell_angle_alpha 134.36
_cell_angle_beta 134.36
_cell_angle_gamma 66.53
loop_
_symmetry_equiv_pos_as_xyz
'x,y,z'
loop_
_atom_site_label
_atom_site_type_symbol
_atom_site_fract_x
_atom_site_fract_y
_atom_site_fract_z
Ba1 Ba 0.000 0.000 0.000
Fe1 Fe 0.250 0.750 0.500
Fe2 Fe 0.750 0.250 0.500
Se1 Se 0.500 0.500 0.000
```

- final energy (eV per atom) = -5.327
- volume (Å³/cell) = 84
- mass density (g cm⁻³) = 6.45
- size of the total moment (μB per formula unit) = 5.76

Q: What is the mass density in the fifth record?
A: 6.21 g cm⁻³